Entry from the Alexandria database: a relaxed structure of SrNi3P2 (GGA-PBE).

Structure (CIF):
```
data_SrNi3P2
_chemical_formula_sum 'Sr4 Ni12 P8'
_symmetry_space_group_name_H-M 'C 1 2/m 1'
_symmetry_Int_Tables_number 12
_cell_length_a 14.4974
_cell_length_b 3.7616
_cell_length_c 7.3581
_cell_angle_alpha 90.00
_cell_angle_beta 113.23
_cell_angle_gamma 90.00
loop_
_symmetry_equiv_pos_as_xyz
'x,y,z'
'-x,-y,-z'
'-x,y,-z'
'x,-y,z'
'x+1/2,y+1/2,z'
'-x+1/2,-y+1/2,-z'
'-x+1/2,y+1/2,-z'
'x+1/2,-y+1/2,z'
loop_
_atom_site_label
_atom_site_type_symbol
_atom_site_fract_x
_atom_site_fract_y
_atom_site_fract_z
_atom_site_occupancy
Sr1 Sr 0.1480 0.0000 0.0607 1
Ni1 Ni 0.0476 0.0000 0.3837 1
Ni2 Ni 0.0917 0.5000 0.6592 1
Ni3 Ni 0.1852 0.5000 0.4427 1
P1 P 0.0245 0.5000 0.2153 1
P2 P 0.1864 0.0000 0.6590 1
```

## Properties
The value obtained for the formation energy is -0.695 eV/atom. The density of states at the Fermi level comes out at 3.770 states/eV/f.u. Its theoretical density is 5.866 g/cm³.

---

Entry from the Alexandria database: a relaxed structure of SrNi4P2 (GGA-PBE).

Structure (CIF):
```
data_SrNi4P2
_chemical_formula_sum 'Sr2 Ni8 P4'
_symmetry_space_group_name_H-M 'P 42/m n m'
_symmetry_Int_Tables_number 136
_symmetry_space_group_name_Hall '-P 4n 2n'
_cell_length_a 7.3797
_cell_length_b 7.3797
_cell_length_c 3.5459
_cell_angle_alpha 90.00
_cell_angle_beta 90.00
_cell_angle_gamma 90.00
loop_
_atom_site_label
_atom_site_type_symbol
_atom_site_fract_x
_atom_site_fract_y
_atom_site_fract_z
_atom_site_occupancy
Sr1 Sr 0.0000 0.0000 0.0000 1
Ni1 Ni 0.0846 0.3388 0.5000 1
P1 P 0.2248 0.7752 0.5000 1
```

## Properties
The value obtained for the formation energy is -0.566 eV/atom. The density of states at the Fermi level comes out at 5.049 states/eV/f.u. Its theoretical density is 6.610 g/cm³.